# CuPCSe2

CuPCSe2 at its PBEsol-relaxed geometry (SCAN, Alexandria).

Energy = -13.232 eV per atom

Geometry as POSCAR:
```
CuPCSe2
1.0
-3.9733 0.9776 -0.8973
-1.3221 -1.3966 4.3330
0.7121 4.3931 1.6332
P C Cu Se
1 1 1 2
Direct
0.5000 0.0000 0.0000
0.5000 0.5000 0.5000
0.0000 0.0000 0.0000
0.0000 0.0000 0.5000
0.0000 0.5000 0.0000
```